Entry from Alexandria via LeMat-Bulk: a relaxed Tl2AgOs crystal (PBE-GGA).

a b c (Å): 3.276 3.285 7.543
angles (deg): 90.00 90.12 90.00
Space group P2/m (No. 10)
Unique sites:
Tl 0.001 0.000 0.227 (multiplicity 2)
Ag 0.500 0.500 0.500 (multiplicity 1)
Os 0.500 0.500 0.000 (multiplicity 1)

Results
* volume: 20.3 Å³/atom
* VASP energy: -3.94 eV per atom
* distance to the lowest polymorph of the same formula: 46 kJ/mol of formula units
* energy relative to the elements: 0.7654 eV per atom



Entry from Alexandria via LeMat-Bulk: a relaxed YZnCu2 crystal (PBE-GGA).

a b c (Å): 3.683 18.250 4.228
angles (deg): 90.00 90.00 90.00
Space group Cmcm (No. 63)
Unique sites:
Y 0.000 0.099 0.250 (multiplicity 4)
Zn 0.000 0.332 0.250 (multiplicity 4)
Cu 0.000 0.259 0.750 (multiplicity 4)
Cu 0.000 0.467 0.250 (multiplicity 4)

Results
* volume: 17.8 Å³/atom
* VASP energy: -4.21 eV per atom
* energy relative to the elements: -0.2290 eV per atom



Entry from Alexandria via LeMat-Bulk: a relaxed ScCdAg2 crystal (PBE-GGA).

a b c (Å): 7.747 7.747 5.827
angles (deg): 90.00 90.00 90.00
Space group I-42d (No. 122)
Unique sites:
Sc 0.000 0.000 0.000 (multiplicity 4)
Cd 0.000 0.000 0.500 (multiplicity 4)
Ag 0.244 0.750 0.625 (multiplicity 8)

Results
* volume: 21.9 Å³/atom
* VASP energy: -3.11 eV per atom
* energy relative to the elements: 0.1316 eV per atom



Entry from Alexandria via LeMat-Bulk: a relaxed PmB2IrRu crystal (PBE-GGA).

a b c (Å): 3.947 3.947 9.792
angles (deg): 90.00 90.00 90.00
Space group I-4m2 (No. 119)
Unique sites:
Pm 0.000 0.000 0.000 (multiplicity 2)
B 0.000 0.000 0.333 (multiplicity 4)
Ir 0.000 0.500 0.750 (multiplicity 2)
Ru 0.000 0.500 0.250 (multiplicity 2)

Results
* volume: 15.3 Å³/atom
* VASP energy: -7.85 eV per atom
* energy relative to the elements: -0.6009 eV per atom



Entry from Alexandria via LeMat-Bulk: a relaxed SrCdIN2 crystal (PBE-GGA).

a b c (Å): 4.559 4.559 5.886
angles (deg): 90.00 90.00 90.00
Space group P4/mmm (No. 123)
Unique sites:
Sr 0.000 0.000 0.000 (multiplicity 1)
Cd 0.500 0.500 0.500 (multiplicity 1)
I 0.500 0.500 0.000 (multiplicity 1)
N 0.000 0.500 0.500 (multiplicity 2)

Results
* volume: 24.5 Å³/atom
* energy relative to the elements, uncorrected: 0.8480 eV per atom
* VASP energy: -3.31 eV per atom
* distance to the lowest polymorph of the same formula: 0 kJ/mol of formula units



Entry from Alexandria via LeMat-Bulk: a relaxed TcGeSbTe2 crystal (PBE-GGA).

a b c (Å): 5.261 5.261 5.099
angles (deg): 90.00 90.00 90.00
Space group P4/mmm (No. 123)
Unique sites:
Tc 0.000 0.000 0.000 (multiplicity 1)
Ge 0.500 0.500 0.500 (multiplicity 1)
Sb 0.000 0.000 0.500 (multiplicity 1)
Te 0.000 0.500 0.000 (multiplicity 2)

Results
* volume: 28.2 Å³/atom
* energy relative to the elements, uncorrected: 0.6458 eV per atom
* VASP energy: -4.43 eV per atom
* distance to the lowest polymorph of the same formula: 0 kJ/mol of formula units



Entry from Alexandria via LeMat-Bulk: a relaxed CsGd2Sc crystal (PBE-GGA).

a b c (Å): 3.6113 3.6113 38.3824
angles (deg): 90.00 90.00 120.00
Space group R-3m (No. 166, hexagonal axes)
Unique sites:
Cs 0.0000 0.0000 0.0000 (multiplicity 3)
Gd 0.0000 0.0000 0.0981 (multiplicity 6)
Sc 0.0000 0.0000 0.5000 (multiplicity 3)

Results
* volume: 36.1 Å³/atom
* VASP energy: -8.49 eV per atom
* energy relative to the elements: 0.3480 eV per atom



Entry from Alexandria via LeMat-Bulk: a relaxed Li2In2Pd crystal (PBE-GGA).

a b c (Å): 7.141 7.141 3.360
angles (deg): 90.00 90.00 90.00
Space group P4/mbm (No. 127)
Unique sites:
Li 0.132 0.368 0.000 (multiplicity 4)
In 0.169 0.669 0.500 (multiplicity 4)
Pd 0.000 0.000 0.000 (multiplicity 2)

Results
* volume: 17.1 Å³/atom
* VASP energy: -3.12 eV per atom
* energy relative to the elements: -0.2168 eV per atom



Entry from Alexandria via LeMat-Bulk: a relaxed CuAg2BrCl3 crystal (PBE-GGA).

a b c (Å): 7.7548 7.7548 19.0847
angles (deg): 90.00 90.00 120.00
Space group R-3m (No. 166, hexagonal axes)
Unique sites:
Cu 0.0000 0.0000 0.1162 (multiplicity 6)
Ag 0.0000 0.0000 0.5000 (multiplicity 3)
Ag 0.0000 0.5000 0.0000 (multiplicity 9)
Br 0.0000 0.0000 0.2470 (multiplicity 6)
Cl 0.0055 0.5027 0.7505 (multiplicity 18)

Results
* volume: 23.7 Å³/atom
* energy relative to the elements, uncorrected: -0.4053 eV per atom
* VASP energy: -2.84 eV per atom



Entry from Alexandria via LeMat-Bulk: a relaxed PrTm2Ag3 crystal (PBE-GGA).

a b c (Å): 3.615 3.615 11.156
angles (deg): 90.00 90.00 90.00
Space group P4/mmm (No. 123)
Unique sites:
Pr 0.000 0.000 0.000 (multiplicity 1)
Tm 0.000 0.000 0.340 (multiplicity 2)
Ag 0.500 0.500 0.188 (multiplicity 2)
Ag 0.500 0.500 0.500 (multiplicity 1)

Results
* volume: 24.3 Å³/atom
* VASP energy: -4.03 eV per atom
* energy relative to the elements: -0.3124 eV per atom



Entry from Alexandria via LeMat-Bulk: a relaxed NiAgBr2 crystal (PBE-GGA).

a b c (Å): 3.418 3.418 7.024
angles (deg): 90.00 90.00 90.00
Space group P4/mmm (No. 123)
Unique sites:
Ni 0.000 0.000 0.000 (multiplicity 1)
Ag 0.000 0.000 0.500 (multiplicity 1)
Br 0.500 0.500 0.230 (multiplicity 2)

Results
* volume: 20.5 Å³/atom
* energy relative to the elements, uncorrected: 0.2923 eV per atom
* VASP energy: -2.70 eV per atom
* distance to the lowest polymorph of the same formula: 159 kJ/mol of formula units



Entry from Alexandria via LeMat-Bulk: a relaxed TbDy14In crystal (PBE-GGA).

a b c (Å): 7.027 7.027 9.979
angles (deg): 90.00 90.00 90.00
Space group P4/mmm (No. 123)
Unique sites:
Tb 0.000 0.000 0.000 (multiplicity 1)
Dy 0.000 0.000 0.500 (multiplicity 1)
Dy 0.000 0.500 0.000 (multiplicity 2)
Dy 0.000 0.500 0.500 (multiplicity 2)
Dy 0.250 0.250 0.248 (multiplicity 8)
Dy 0.500 0.500 0.500 (multiplicity 1)
In 0.500 0.500 0.000 (multiplicity 1)

Results
* volume: 30.8 Å³/atom
* VASP energy: -4.52 eV per atom
* energy relative to the elements: -0.0279 eV per atom



Entry from Alexandria via LeMat-Bulk: a relaxed YPtN2 crystal (PBE-GGA).

a b c (Å): 3.8041 3.8041 16.6948
angles (deg): 90.00 90.00 120.00
Space group R-3m (No. 166, hexagonal axes)
Unique sites:
Y 0.0000 0.0000 0.0000 (multiplicity 3)
Pt 0.0000 0.0000 0.5000 (multiplicity 3)
N 0.0000 0.0000 0.3895 (multiplicity 6)

Results
* volume: 17.4 Å³/atom
* energy relative to the elements, uncorrected: -0.2538 eV per atom
* VASP energy: -7.54 eV per atom
* distance to the lowest polymorph of the same formula: 0 kJ/mol of formula units



Entry from Alexandria via LeMat-Bulk: a relaxed YZnPd crystal (PBE-GGA).

a b c (Å): 10.050 4.438 6.852
angles (deg): 90.00 128.55 90.00
Space group C2/m (No. 12)
Unique sites:
Y 0.050 0.000 0.304 (multiplicity 4)
Zn 0.165 0.500 0.101 (multiplicity 4)
Pd 0.168 0.500 0.709 (multiplicity 4)

Results
* volume: 19.9 Å³/atom
* VASP energy: -5.01 eV per atom
* energy relative to the elements: -0.7025 eV per atom



Entry from Alexandria via LeMat-Bulk: a relaxed SiRh2W crystal (PBE-GGA).

a b c (Å): 2.804 2.804 7.078
angles (deg): 90.00 90.00 90.00
Space group P4/mmm (No. 123)
Unique sites:
Si 0.000 0.000 0.000 (multiplicity 1)
Rh 0.500 0.500 0.209 (multiplicity 2)
W 0.000 0.000 0.500 (multiplicity 1)

Results
* volume: 13.9 Å³/atom
* energy relative to the elements, uncorrected: -0.4342 eV per atom
* VASP energy: -8.70 eV per atom



Entry from Alexandria via LeMat-Bulk: a relaxed CaAs2 crystal (PBE-GGA).

a b c (Å): 10.731 3.810 7.232
angles (deg): 90.00 93.48 90.00
Space group C2/m (No. 12)
Unique sites:
Ca 0.115 0.000 0.279 (multiplicity 4)
As 0.104 0.500 0.650 (multiplicity 4)
As 0.179 0.000 0.871 (multiplicity 4)

Results
* volume: 24.6 Å³/atom
* VASP energy: -4.42 eV per atom
* energy relative to the elements: -0.6516 eV per atom



Entry from Alexandria via LeMat-Bulk: a relaxed TcAg2O2F4 crystal (PBE-GGA).

a b c (Å): 10.171 5.871 5.003
angles (deg): 90.00 110.43 90.00
Space group C2/m (No. 12)
Unique sites:
Tc 0.000 0.000 0.000 (multiplicity 2)
Ag 0.129 0.500 0.403 (multiplicity 4)
O 0.159 0.000 0.301 (multiplicity 4)
F 0.073 0.249 0.824 (multiplicity 8)

Results
* volume: 15.6 Å³/atom
* energy relative to the elements, uncorrected: -1.3331 eV per atom
* VASP energy: -5.05 eV per atom



Entry from Alexandria via LeMat-Bulk: a relaxed Al3TcSe crystal (PBE-GGA).

a b c (Å): 4.775 4.775 4.775
angles (deg): 90.00 90.00 90.00
Space group Pm-3m (No. 221)
Unique sites:
Al 0.000 0.000 0.500 (multiplicity 3)
Tc 0.000 0.000 0.000 (multiplicity 1)
Se 0.500 0.500 0.500 (multiplicity 1)

Results
* volume: 21.8 Å³/atom
* energy relative to the elements, uncorrected: 0.3924 eV per atom
* VASP energy: -4.62 eV per atom
* distance to the lowest polymorph of the same formula: 0 kJ/mol of formula units



Entry from Alexandria via LeMat-Bulk: a relaxed FeHg2Rh crystal (PBE-GGA).

a b c (Å): 3.039 4.549 5.028
angles (deg): 90.00 90.23 90.00
Space group Pm (No. 6)
Unique sites:
Fe 0.000 0.000 0.000 (multiplicity 1)
Hg 0.497 0.000 0.539 (multiplicity 1)
Hg 0.503 0.500 0.192 (multiplicity 1)
Rh 0.000 0.500 0.723 (multiplicity 1)

Results
* volume: 17.4 Å³/atom
* VASP energy: -3.80 eV per atom
* distance to the lowest polymorph of the same formula: 48 kJ/mol of formula units
* energy relative to the elements: 0.2999 eV per atom



Entry from Alexandria via LeMat-Bulk: a relaxed Er8GaP3S4 crystal (PBE-GGA).

a b c (Å): 7.8904 7.8904 19.3241
angles (deg): 90.00 90.00 120.00
Space group R-3m (No. 166, hexagonal axes)
Unique sites:
Er 0.0000 0.0000 0.2468 (multiplicity 6)
Er 0.0020 0.5010 0.7515 (multiplicity 18)
Ga 0.0000 0.0000 0.5000 (multiplicity 3)
P 0.0000 0.5000 0.5000 (multiplicity 9)
S 0.0000 0.0000 0.0000 (multiplicity 3)
S 0.0000 0.5000 0.0000 (multiplicity 9)

Results
* volume: 21.7 Å³/atom
* energy relative to the elements, uncorrected: -1.6896 eV per atom
* VASP energy: -6.21 eV per atom